Entry one
Density functional theory data (GGA+U) for CoSiIO2 after structural relaxation.

CIF file:
```
data_CoSiIO2
_chemical_formula_sum 'Co1 Si1 I1 O2'
_space_group_name_H-M_alt 'P 4/m m m'
_space_group_IT_number 123
_space_group_name_Hall '-P 4 2'
_cell_length_a 3.499
_cell_length_b 3.499
_cell_length_c 6.948
_cell_angle_alpha 90.00
_cell_angle_beta 90.00
_cell_angle_gamma 90.00
loop_
_atom_site_label
_atom_site_type_symbol
_atom_site_fract_x
_atom_site_fract_y
_atom_site_fract_z
Co1 Co 0.000 0.000 0.000
Si1 Si 0.500 0.500 0.500
I1 I 0.500 0.500 0.000
O1 O 0.000 0.500 0.500
```

***

Entry two
Density functional theory data (GGA+U) for CoSiIO2 after structural relaxation.

CIF file:
```
data_CoSiIO2
_chemical_formula_sum 'Co1 Si1 I1 O2'
_space_group_name_H-M_alt 'P 4/m m m'
_space_group_IT_number 123
_space_group_name_Hall '-P 4 2'
_cell_length_a 3.923
_cell_length_b 3.923
_cell_length_c 5.448
_cell_angle_alpha 90.00
_cell_angle_beta 90.00
_cell_angle_gamma 90.00
loop_
_atom_site_label
_atom_site_type_symbol
_atom_site_fract_x
_atom_site_fract_y
_atom_site_fract_z
Co1 Co 0.000 0.000 0.000
Si1 Si 0.500 0.500 0.500
I1 I 0.000 0.000 0.500
O1 O 0.000 0.500 0.000
```

***

entry one is favored, and the nearest alternative lies 0.796 eV/atom above it.

***

Entry one
Density functional theory data (GGA+U) for CoSiI2O after structural relaxation.

CIF file:
```
data_CoSiI2O
_chemical_formula_sum 'Co1 Si1 I2 O1'
_space_group_name_H-M_alt 'P 4/m m m'
_space_group_IT_number 123
_space_group_name_Hall '-P 4 2'
_cell_length_a 5.606
_cell_length_b 5.606
_cell_length_c 3.531
_cell_angle_alpha 90.00
_cell_angle_beta 90.00
_cell_angle_gamma 90.00
loop_
_atom_site_label
_atom_site_type_symbol
_atom_site_fract_x
_atom_site_fract_y
_atom_site_fract_z
Co1 Co 0.000 0.000 0.000
Si1 Si 0.500 0.500 0.500
I1 I 0.000 0.500 0.500
O1 O 0.500 0.500 0.000
```

***

Entry two
Density functional theory data (GGA+U) for CoSiI2O after structural relaxation.

CIF file:
```
data_CoSiI2O
_chemical_formula_sum 'Co1 Si1 I2 O1'
_space_group_name_H-M_alt 'P 4/m m m'
_space_group_IT_number 123
_space_group_name_Hall '-P 4 2'
_cell_length_a 5.607
_cell_length_b 5.607
_cell_length_c 3.630
_cell_angle_alpha 90.00
_cell_angle_beta 90.00
_cell_angle_gamma 90.00
loop_
_atom_site_label
_atom_site_type_symbol
_atom_site_fract_x
_atom_site_fract_y
_atom_site_fract_z
Co1 Co 0.000 0.000 0.000
Si1 Si 0.500 0.500 0.500
I1 I 0.000 0.500 0.000
O1 O 0.000 0.000 0.500
```

***

entry one is favored, and the nearest alternative lies 0.135 eV/atom above it.

***

Entry one
Density functional theory data (GGA+U) for CoSnI2O after structural relaxation.

CIF file:
```
data_CoSnI2O
_chemical_formula_sum 'Co1 Sn1 I2 O1'
_space_group_name_H-M_alt 'P 4/m m m'
_space_group_IT_number 123
_space_group_name_Hall '-P 4 2'
_cell_length_a 6.086
_cell_length_b 6.086
_cell_length_c 4.035
_cell_angle_alpha 90.00
_cell_angle_beta 90.00
_cell_angle_gamma 90.00
loop_
_atom_site_label
_atom_site_type_symbol
_atom_site_fract_x
_atom_site_fract_y
_atom_site_fract_z
Co1 Co 0.000 0.000 0.000
Sn1 Sn 0.500 0.500 0.500
I1 I 0.000 0.500 0.500
O1 O 0.500 0.500 0.000
```

***

Entry two
Density functional theory data (GGA+U) for CoSnI2O after structural relaxation.

CIF file:
```
data_CoSnI2O
_chemical_formula_sum 'Co1 Sn1 I2 O1'
_space_group_name_H-M_alt 'P 4/m m m'
_space_group_IT_number 123
_space_group_name_Hall '-P 4 2'
_cell_length_a 5.834
_cell_length_b 5.834
_cell_length_c 3.685
_cell_angle_alpha 90.00
_cell_angle_beta 90.00
_cell_angle_gamma 90.00
loop_
_atom_site_label
_atom_site_type_symbol
_atom_site_fract_x
_atom_site_fract_y
_atom_site_fract_z
Co1 Co 0.000 0.000 0.000
Sn1 Sn 0.500 0.500 0.500
I1 I 0.000 0.500 0.000
O1 O 0.000 0.000 0.500
```

***

entry two is favored, and the nearest alternative lies 0.408 eV/atom above it.